Here is CeIr3 at its PBEsol-relaxed geometry from Alexandria. Energies are from meta-GGA SCAN.

Values from the calculation:
The crystal system is hexagonal. The value obtained for the density of states at the Fermi level is 0.845 states/eV/atom. The energy relative to the elements is -0.72 eV per atom. The space group is No. 194.

Lattice parameters (Å, degrees): 5.2637 5.2637 17.4481 90.00 90.00 120.00
Last column: nearest neighbours and their distance in Å.
Positions (direct):
Ce (0.3333, 0.6667, 0.5417)  12 Ir 3.02-3.30, 3 Ce 3.37
Ce (0.6667, 0.3333, 0.4583)  12 Ir 3.02-3.30, 3 Ce 3.37
Ce (0.6667, 0.3333, 0.0417)  12 Ir 3.02-3.30, 3 Ce 3.37
Ce (0.3333, 0.6667, 0.9583)  12 Ir 3.02-3.30, 3 Ce 3.37
Ce (0.3333, 0.6667, 0.7500)  6 Ir 3.04
Ce (0.6667, 0.3333, 0.2500)  6 Ir 3.04
Ir (0.1676, 0.8324, 0.1262)  7 Ir 2.62-2.68
Ir (0.6647, 0.8324, 0.1262)  7 Ir 2.62-2.68
Ir (0.1676, 0.3353, 0.1262)  7 Ir 2.62-2.68
Ir (0.8324, 0.1676, 0.8738)  7 Ir 2.62-2.68
Ir (0.3353, 0.1676, 0.8738)  7 Ir 2.62-2.68
Ir (0.8324, 0.6647, 0.8738)  7 Ir 2.62-2.68
Ir (0.8324, 0.1676, 0.6262)  7 Ir 2.62-2.68
Ir (0.3353, 0.1676, 0.6262)  7 Ir 2.62-2.68
Ir (0.8324, 0.6647, 0.6262)  7 Ir 2.62-2.68
Ir (0.1676, 0.8324, 0.3738)  7 Ir 2.62-2.68
Ir (0.6647, 0.8324, 0.3738)  7 Ir 2.62-2.68
Ir (0.1676, 0.3353, 0.3738)  7 Ir 2.62-2.68
Ir (0.3333, 0.6667, 0.2500)  6 Ir 2.64
Ir (0.6667, 0.3333, 0.7500)  6 Ir 2.64
Ir (0.0000, 0.0000, 0.2500)  6 Ir 2.65
Ir (0.0000, 0.0000, 0.7500)  6 Ir 2.65
Ir (0.0000, 0.0000, 0.0000)  6 Ir 2.68
Ir (0.0000, 0.0000, 0.5000)  6 Ir 2.68